Material: LaAsIrSe2
Method: DFT, PBE-GGA
State: relaxed

a = 5.182 Å, b = 5.182 Å, c = 4.574 Å
α = 90.00°, β = 90.00°, γ = 90.00°
Space group P4/mmm (No. 123)
Asymmetric unit:
La1 0.000 0.000 0.000 x1
As1 0.500 0.500 0.000 x1
Ir1 0.500 0.500 0.500 x1
Se1 0.000 0.500 0.500 x2

Summary:
Total DFT energy (no corrections) ... -28.1 eV per cell
Density ... 7.63 g/cm³